[1]
Mg2ZrTeF: relaxed, GGA-PBEsol.

Cell lengths 4.072, 5.696, 5.696 Å; angles 90.00, 90.00, 90.00 degrees
Site moments in Bohr magnetons follow the coordinates.
Sites, in units of the cell vectors:
Mg (0.000, 0.000, 0.500)  0.00
Mg (0.000, 0.500, 0.000)  0.00
Te (0.500, 0.500, 0.500)  -0.01
Zr (0.000, 0.000, 0.000)  0.23
F (0.500, 0.000, 0.000)  0.00

Properties
- Magnetic moment: 0.4 μB/f.u.
- Crystal system: tetragonal
- N(E_F): 0.5983 states/eV per atom
- Symmetry: P4/mmm
- Formation energy (no corrections): -0.41 eV per atom

=====

[2]
ZrPAu: relaxed, GGA-PBEsol.

Cell lengths 3.923, 3.923, 4.018 Å; angles 90.00, 90.00, 120.00 degrees
Sites, in units of the cell vectors:
P (0.667, 0.333, 0.707)
Zr (0.333, 0.667, 0.368)
Au (0.000, 0.000, 0.925)

Properties
- Magnetic moment: 0.0 μB/f.u.
- Crystal system: trigonal
- N(E_F): 0.0969 states/eV per atom
- Symmetry: P3m1

=====

[3]
Y3InFe: relaxed, GGA-PBEsol.

Cell lengths 5.051, 5.051, 5.051 Å; angles 90.00, 90.00, 90.00 degrees
Sites, in units of the cell vectors:
Y (0.500, 0.000, 0.000)
Y (0.000, 0.000, 0.500)
Fe (0.000, 0.000, 0.000)
Y (0.000, 0.500, 0.000)
In (0.500, 0.500, 0.500)

Properties
- Magnetic moment: 0.0 μB/f.u.
- Crystal system: cubic
- N(E_F): 0.8561 states/eV per atom
- Symmetry: Pm-3m

=====

[4]
CaReTe2: relaxed, GGA-PBEsol.

Cell lengths 3.626, 3.626, 6.946 Å; angles 90.00, 90.00, 90.00 degrees
Sites, in units of the cell vectors:
Ca (0.000, 0.000, 0.498)
Re (0.500, 0.500, 0.763)
Te (0.000, 0.000, 0.935)
Te (0.500, 0.500, 0.304)

Properties
- Magnetic moment: 0.0 μB/f.u.
- Crystal system: tetragonal
- N(E_F): 0.6896 states/eV per atom
- Symmetry: P4mm
- Formation energy (no corrections): 0.08 eV per atom
- Distance to the lowest polymorph of the same formula: 0.313 eV per atom

=====

[5]
Zr2FeHg: relaxed, GGA-PBEsol.

Cell lengths 3.484, 4.606, 4.606 Å; angles 90.00, 90.00, 90.00 degrees
Site moments in Bohr magnetons follow the coordinates.
Sites, in units of the cell vectors:
Zr (0.000, 0.500, 0.000)  -0.29
Zr (0.000, 0.000, 0.500)  -0.29
Fe (0.500, 0.500, 0.500)  1.62
Hg (0.500, 0.000, 0.000)  -0.03

Properties
- Magnetic moment: 0.7 μB/f.u.
- Crystal system: tetragonal
- N(E_F): 0.9692 states/eV per atom
- Symmetry: P4/mmm

=====

[6]
KGe2N3: relaxed, GGA-PBEsol.

Cell lengths 5.258, 5.821, 5.821 Å; angles 61.51, 90.00, 90.00 degrees
Sites, in units of the cell vectors:
N (0.487, 0.795, 0.205)
N (0.861, 0.117, 0.353)
N (0.361, 0.353, 0.117)
K (0.502, 0.345, 0.655)
N (0.861, 0.647, 0.883)
N (0.361, 0.883, 0.647)
N (0.987, 0.205, 0.795)
Ge (0.524, 0.029, 0.317)
Ge (0.524, 0.683, 0.971)
Ge (0.024, 0.317, 0.029)
K (0.002, 0.655, 0.345)
Ge (0.024, 0.971, 0.683)

Properties
- Magnetic moment: 0.0 μB/f.u.
- Crystal system: orthorhombic
- N(E_F): 0.0000 states/eV per atom
- Symmetry: Cmc2_1
- Formation energy (no corrections): -0.29 eV per atom

=====

[7]
ZnSbSe: relaxed, GGA-PBEsol.

Cell lengths 4.723, 4.723, 4.723 Å; angles 60.00, 60.00, 60.00 degrees
Sites, in units of the cell vectors:
Sb (0.500, 0.500, 0.500)
Se (0.250, 0.250, 0.250)
Zn (0.000, 0.000, 0.000)

Properties
- Magnetic moment: 0.0 μB/f.u.
- Crystal system: cubic
- N(E_F): 0.9268 states/eV per atom
- Symmetry: F-43m
- Formation energy (no corrections): 0.42 eV per atom

=====

[8]
MnBe3Tl: relaxed, GGA-PBEsol.

Cell lengths 4.455, 4.455, 4.455 Å; angles 90.00, 90.00, 90.00 degrees
Site moments in Bohr magnetons follow the coordinates.
Sites, in units of the cell vectors:
Be (0.000, 0.000, 0.500)  -0.02
Tl (0.000, 0.000, 0.000)  0.05
Be (0.500, 0.000, 0.000)  -0.02
Be (0.000, 0.500, 0.000)  -0.02
Mn (0.500, 0.500, 0.500)  4.11

Properties
- Magnetic moment: 4.3 μB/f.u.
- Crystal system: cubic
- N(E_F): 0.4395 states/eV per atom
- Symmetry: Pm-3m
- Distance to the lowest polymorph of the same formula: 0.485 eV per atom

=====

[9]
YInNi2B: relaxed, GGA-PBEsol.

Cell lengths 4.585, 4.654, 4.654 Å; angles 90.00, 90.00, 90.00 degrees
Sites, in units of the cell vectors:
B (0.500, 0.000, 0.000)
Y (0.000, 0.000, 0.000)
Ni (0.000, 0.000, 0.500)
Ni (0.000, 0.500, 0.000)
In (0.500, 0.500, 0.500)

Properties
- Magnetic moment: 0.0 μB/f.u.
- Crystal system: tetragonal
- N(E_F): 0.6757 states/eV per atom
- Symmetry: P4/mmm

=====

[10]
SrAu3N: relaxed, GGA-PBEsol.

Cell lengths 5.820, 5.820, 5.820 Å; angles 90.00, 90.00, 90.00 degrees
Site moments in Bohr magnetons follow the coordinates.
Sites, in units of the cell vectors:
Au (0.000, 0.500, 0.000)  -0.04
Sr (0.000, 0.000, 0.000)  -0.01
Au (0.000, 0.000, 0.500)  -0.04
Au (0.500, 0.000, 0.000)  -0.04
N (0.500, 0.500, 0.500)  1.90

Properties
- Magnetic moment: 2.7 μB/f.u.
- Crystal system: cubic
- N(E_F): 1.4978 states/eV per atom
- Symmetry: Pm-3m
- Formation energy (no corrections): 1.87 eV per atom

=====

[11]
Li2CaZn: relaxed, GGA-PBEsol.

Cell lengths 4.970, 4.970, 4.970 Å; angles 60.00, 60.00, 60.00 degrees
Sites, in units of the cell vectors:
Li (0.000, 0.000, 0.000)
Li (0.750, 0.750, 0.750)
Zn (0.250, 0.250, 0.250)
Ca (0.500, 0.500, 0.500)

Properties
- Magnetic moment: 0.0 μB/f.u.
- Crystal system: cubic
- N(E_F): 0.7358 states/eV per atom
- Symmetry: F-43m

=====

[12]
SrBeNi2: relaxed, GGA-PBEsol.

Cell lengths 3.388, 4.204, 4.204 Å; angles 93.14, 90.00, 90.00 degrees
Sites, in units of the cell vectors:
Sr (0.500, 0.500, 0.500)
Ni (0.000, 0.500, 0.000)
Be (0.500, 0.000, 0.000)
Ni (0.000, 0.000, 0.500)

Properties
- Magnetic moment: 0.0 μB/f.u.
- Crystal system: orthorhombic
- N(E_F): 0.2725 states/eV per atom
- Symmetry: Cmmm
- Distance to the lowest polymorph of the same formula: 0.621 eV per atom

=====

Number 1: volume 132 Å³ per cell, calculated total energy -4.003 eV per atom. Number 2: volume 54 Å³ per cell, calculated total energy -6.945 eV per atom. Number 3: volume 129 Å³ per cell, calculated total energy -6.550 eV per atom. Number 4: volume 91 Å³ per cell, calculated total energy -5.552 eV per atom. Number 5: volume 74 Å³ per cell, calculated total energy -6.986 eV per atom. Number 6: volume 157 Å³ per cell, calculated total energy -6.385 eV per atom. Number 7: volume 74 Å³ per cell, calculated total energy -2.915 eV per atom. Number 8: volume 88 Å³ per cell, calculated total energy -3.410 eV per atom. Number 9: volume 99 Å³ per cell, calculated total energy -4.353 eV per atom. Number 10: volume 197 Å³ per cell, calculated total energy -2.555 eV per atom. Number 11: volume 87 Å³ per cell, calculated total energy -1.947 eV per atom. Number 12: volume 60 Å³ per cell, calculated total energy -3.998 eV per atom.